Computed, not measured: a relaxed structure of Pr4Zn3Ni2 at the PBE level of DFT.

The space group is C2/m (No. 12) and the conventional cell measures 15.123, 4.154 and 6.980 Å, with angles of 90.00, 107.95 and 90.00 degrees. The distinct sites, in fractional coordinates, are Pr at (0.073, 0.000, 0.359), Pr at (0.230, 0.500, 0.193), Zn at (0.000, 0.500, 0.000), Zn at (0.096, 0.500, 0.725) and Ni at (0.104, 0.000, 0.949).

The value obtained for the size of the total moment is 0.00 μB per formula unit. The value obtained for the formation energy is -266 meV/atom.


Computed, not measured: a relaxed structure of Pr3Zn3Ni8 at the PBE level of DFT.

The space group is Immm (No. 71) and the conventional cell measures 4.098, 9.225 and 12.389 Å, with angles of 90.00, 90.00 and 90.00 degrees. The distinct sites, in fractional coordinates, are Pr at (0.000, 0.000, 0.000), Pr at (0.000, 0.000, 0.296), Zn at (0.000, 0.229, 0.500), Zn at (0.000, 0.500, 0.000), Ni at (0.000, 0.277, 0.108) and Ni at (0.000, 0.306, 0.304).

The value obtained for the size of the total moment is 0.00 μB per formula unit. The value obtained for the formation energy is -270 meV/atom.


Computed, not measured: a relaxed structure of Pr3Zn2Ni6 at the PBE level of DFT.

The space group is Im-3m (No. 229) and the conventional cell measures 9.110, 9.110 and 9.110 Å, with angles of 90.00, 90.00 and 90.00 degrees. The distinct sites, in fractional coordinates, are Pr at (0.000, 0.000, 0.294), Zn at (0.250, 0.250, 0.250) and Ni at (0.000, 0.337, 0.337).

The value obtained for the size of the total moment is 0.00 μB per formula unit. The value obtained for the formation energy is -343 meV/atom.


Computed, not measured: a relaxed structure of Pr3Zn8Ni at the PBE level of DFT.

The space group is R3m (No. 160, hexagonal axes) and the conventional cell measures 5.3756, 5.3756 and 28.0847 Å, with angles of 90.00, 90.00 and 120.00 degrees. The distinct sites, in fractional coordinates, are Pr at (0.0000, 0.0000, 0.0000), Pr at (0.0000, 0.0000, 0.1281), Pr at (0.0000, 0.0000, 0.6128), Zn at (0.0000, 0.0000, 0.3070), Zn at (0.0000, 0.0000, 0.8110), Zn at (0.0018, 0.5009, 0.0616), Zn at (0.0016, 0.5008, 0.5567) and Ni at (0.0000, 0.0000, 0.5134).

The value obtained for the size of the total moment is 0.00 μB per formula unit. The value obtained for the formation energy is -208 meV/atom.


Computed, not measured: a relaxed structure of Pr3Zn2Ni2 at the PBE level of DFT.

The space group is C2/m (No. 12) and the conventional cell measures 11.052, 3.970 and 7.896 Å, with angles of 90.00, 110.30 and 90.00 degrees. The distinct sites, in fractional coordinates, are Pr at (0.000, 0.000, 0.000), Pr at (0.192, 0.000, 0.670), Zn at (0.024, 0.500, 0.338) and Ni at (0.188, 0.500, 0.931).

The value obtained for the size of the total moment is 0.00 μB per formula unit. The value obtained for the formation energy is -313 meV/atom.


Computed, not measured: a relaxed structure of PrZn12Ni4 at the PBE level of DFT.

The space group is Im-3 (No. 204) and the conventional cell measures 8.468, 8.468 and 8.468 Å, with angles of 90.00, 90.00 and 90.00 degrees. The distinct sites, in fractional coordinates, are Pr at (0.000, 0.000, 0.000), Zn at (0.000, 0.169, 0.348) and Ni at (0.250, 0.250, 0.250).

The value obtained for the size of the total moment is 0.00 μB per formula unit. The value obtained for the formation energy is 108 meV/atom.


Computed, not measured: a relaxed structure of PrZn2Ni4 at the PBE level of DFT.

The space group is Immm (No. 71) and the conventional cell measures 5.073, 6.319 and 6.345 Å, with angles of 90.00, 90.00 and 90.00 degrees. The distinct sites, in fractional coordinates, are Pr at (0.000, 0.000, 0.000), Zn at (0.250, 0.000, 0.500) and Ni at (0.000, 0.309, 0.309).

The value obtained for the size of the total moment is 0.00 μB per formula unit. The value obtained for the formation energy is -233 meV/atom.


Computed, not measured: a relaxed structure of Pr2Zr2Ni15 at the PBE level of DFT.

The space group is R-3m (No. 166, hexagonal axes) and the conventional cell measures 8.5366, 8.5366 and 12.6636 Å, with angles of 90.00, 90.00 and 120.00 degrees. The distinct sites, in fractional coordinates, are Pr at (0.0000, 0.0000, 0.1452), Zr at (0.0000, 0.0000, 0.3920), Ni at (0.0000, 0.2974, 0.5000), Ni at (0.0000, 0.5000, 0.0000) and Ni at (0.0018, 0.5009, 0.6563).

The value obtained for the size of the total moment is 0.83 μB per formula unit. The value obtained for the formation energy is -245 meV/atom.


Computed, not measured: a relaxed structure of PrZrNi at the PBE level of DFT.

The space group is I4mm (No. 107) and the conventional cell measures 3.402, 3.402 and 11.879 Å, with angles of 90.00, 90.00 and 90.00 degrees. The distinct sites, in fractional coordinates, are Pr at (0.000, 0.000, 0.000), Zr at (0.000, 0.000, 0.280) and Ni at (0.000, 0.000, 0.689).

The value obtained for the size of the total moment is 0.00 μB per formula unit. The value obtained for the formation energy is -111 meV/atom.


Computed, not measured: a relaxed structure of PrZrNi10 at the PBE level of DFT.

The space group is Pmmm (No. 47) and the conventional cell measures 3.967, 4.859 and 8.445 Å, with angles of 90.00, 90.00 and 90.00 degrees. The distinct sites, in fractional coordinates, are Pr at (0.000, 0.000, 0.000), Zr at (0.000, 0.500, 0.500), Ni at (0.000, 0.000, 0.343), Ni at (0.000, 0.500, 0.180), Ni at (0.500, 0.000, 0.500), Ni at (0.500, 0.255, 0.260) and Ni at (0.500, 0.500, 0.000).

The value obtained for the size of the total moment is 2.47 μB per formula unit. The value obtained for the formation energy is -271 meV/atom.


Computed, not measured: a relaxed structure of PrZr2Ni at the PBE level of DFT.

The space group is P4/mmm (No. 123) and the conventional cell measures 3.326, 3.326 and 8.004 Å, with angles of 90.00, 90.00 and 90.00 degrees. The distinct sites, in fractional coordinates, are Pr at (0.000, 0.000, 0.000), Zr at (0.500, 0.500, 0.310) and Ni at (0.000, 0.000, 0.500).

The value obtained for the size of the total moment is 0.00 μB per formula unit. The value obtained for the formation energy is -43 meV/atom.


Computed, not measured: a relaxed structure of Pr2ZrNi9 at the PBE level of DFT.

The space group is R-3m (No. 166, hexagonal axes) and the conventional cell measures 4.9305, 4.9305 and 25.0896 Å, with angles of 90.00, 90.00 and 120.00 degrees. The distinct sites, in fractional coordinates, are Pr at (0.0000, 0.0000, 0.1366), Zr at (0.0000, 0.0000, 0.0000), Ni at (0.0000, 0.0000, 0.3331), Ni at (0.0000, 0.0000, 0.5000) and Ni at (0.0009, 0.5004, 0.0784).

The value obtained for the size of the total moment is 0.00 μB per formula unit. The value obtained for the formation energy is -280 meV/atom.


Q: The highest size of the total moment belongs to which entry?
A: PrZrNi10


Q: What is the size of the total moment in the first record?
A: 0.00 μB per formula unit


Q: Look up the size of the total moment of the sixth one.
A: 0.00 μB per formula unit